w | This record from Alexandria describes a geometry-optimized RbBaSbTe2 structure. The functional is PBE.

Total magnetic moment (μB per atom): 0.000

Unit cell a=6.243 b=6.243 c=5.910 alpha=90.00 beta=90.00 gamma=90.00
Space group P4/mmm (No. 123)
Unique sites:
Rb 0.000 0.000 0.000 (multiplicity 1)
Ba 0.500 0.500 0.500 (multiplicity 1)
Sb 0.000 0.000 0.500 (multiplicity 1)
Te 0.000 0.500 0.000 (multiplicity 2)

---

x | This record from Alexandria describes a geometry-optimized RbBaSbTe2 structure. The functional is PBE.

Total magnetic moment (μB per atom): 0.439

Unit cell a=6.607 b=6.607 c=6.602 alpha=90.00 beta=90.00 gamma=90.00
Space group P4/mmm (No. 123)
Unique sites:
Rb 0.000 0.000 0.000 (multiplicity 1)
Ba 0.500 0.500 0.500 (multiplicity 1)
Sb 0.500 0.500 0.000 (multiplicity 1)
Te 0.000 0.500 0.500 (multiplicity 2)

---

Which structure wins on stability? x wins.

---

w | This record from Alexandria describes a geometry-optimized RbBaSb2Te structure. The functional is PBE.

Total magnetic moment (μB per atom): 0.199

Unit cell a=6.444 b=6.444 c=6.544 alpha=90.00 beta=90.00 gamma=90.00
Space group P4/mmm (No. 123)
Unique sites:
Rb 0.000 0.000 0.000 (multiplicity 1)
Ba 0.500 0.500 0.500 (multiplicity 1)
Sb 0.000 0.500 0.500 (multiplicity 2)
Te 0.500 0.500 0.000 (multiplicity 1)

---

x | This record from Alexandria describes a geometry-optimized RbBaSb2Te structure. The functional is PBE.

Total magnetic moment (μB per atom): 0.000

Unit cell a=6.002 b=6.002 c=6.238 alpha=90.00 beta=90.00 gamma=90.00
Space group P4/mmm (No. 123)
Unique sites:
Rb 0.000 0.000 0.000 (multiplicity 1)
Ba 0.500 0.500 0.500 (multiplicity 1)
Sb 0.000 0.500 0.000 (multiplicity 2)
Te 0.000 0.000 0.500 (multiplicity 1)

---

Which structure wins on stability? w wins.

---

w | This record from Alexandria describes a geometry-optimized RbBaSc2 structure. The functional is PBE.

Total magnetic moment (μB per atom): 0.000

Unit cell a=3.5935 b=3.5935 c=39.8386 alpha=90.00 beta=90.00 gamma=120.00
Space group R-3m (No. 166, hexagonal axes)
Unique sites:
Rb 0.0000 0.0000 0.0000 (multiplicity 3)
Ba 0.0000 0.0000 0.5000 (multiplicity 3)
Sc 0.0000 0.0000 0.0893 (multiplicity 6)

---

x | This record from Alexandria describes a geometry-optimized RbBaSc2 structure. The functional is PBE.

Total magnetic moment (μB per atom): 0.274

Unit cell a=8.652 b=8.652 c=8.652 alpha=90.00 beta=90.00 gamma=90.00
Space group Fm-3m (No. 225)
Unique sites:
Rb 0.000 0.000 0.000 (multiplicity 4)
Ba 0.000 0.000 0.500 (multiplicity 4)
Sc 0.250 0.250 0.250 (multiplicity 8)

---

y | This record from Alexandria describes a geometry-optimized RbBaSc2 structure. The functional is PBE.

Total magnetic moment (μB per atom): 0.276

Unit cell a=4.771 b=4.771 c=26.682 alpha=90.00 beta=90.00 gamma=90.00
Space group I-42d (No. 122)
Unique sites:
Rb 0.000 0.000 0.000 (multiplicity 4)
Ba 0.000 0.000 0.500 (multiplicity 4)
Sc 0.244 0.250 0.625 (multiplicity 8)

---

Which structure wins on stability? w wins.

---

w | This record from Alexandria describes a geometry-optimized RbBa3Sc structure. The functional is PBE.

Total magnetic moment (μB per atom): 0.741

Unit cell a=6.973 b=6.973 c=6.973 alpha=90.00 beta=90.00 gamma=90.00
Space group Pm-3m (No. 221)
Unique sites:
Rb 0.000 0.000 0.000 (multiplicity 1)
Ba 0.000 0.500 0.500 (multiplicity 3)
Sc 0.500 0.500 0.500 (multiplicity 1)

---

x | This record from Alexandria describes a geometry-optimized RbBa3Sc structure. The functional is PBE.

Total magnetic moment (μB per atom): 0.000

Unit cell a=6.528 b=6.528 c=6.528 alpha=90.00 beta=90.00 gamma=90.00
Space group Pm-3m (No. 221)
Unique sites:
Rb 0.000 0.000 0.000 (multiplicity 1)
Ba 0.000 0.000 0.500 (multiplicity 3)
Sc 0.500 0.500 0.500 (multiplicity 1)

---

Which structure wins on stability? w wins.